Record 1
{
  "formula": "DyHf2Pd7",
  "functional": "GGA-PBE",
  "state": "optimized geometry",
  "lattice": [[-2.370, -0.669, -4.169], [-1.512, -4.600, -0.089], [-5.316, 4.947, 5.884]],
  "species": ["Pd", "Pd", "Pd", "Pd", "Pd", "Hf", "Pd", "Dy", "Pd", "Hf"],
  "frac_coords": [[0.500, 0.500, 0.000], [0.089, 0.589, 0.178], [0.911, 0.411, 0.822], [0.411, 0.911, 0.822], [0.589, 0.089, 0.178], [0.331, 0.331, 0.661], [0.250, 0.750, 0.500], [0.000, 0.000, 0.000], [0.750, 0.250, 0.500], [0.669, 0.669, 0.339]],
  "n_ef_per_ev_atom": 0.6375,
  "density_g_cm3": 11.1,
  "spacegroup": "Fmmm (69)",
  "delta_e_f_ev_per_atom": -0.613
}


Record 2
{
  "formula": "Dy2HfPd9",
  "functional": "GGA-PBE",
  "state": "optimized geometry",
  "lattice": [[-1.922, -0.200, -3.589], [-3.588, -0.125, 1.929], [-0.619, 12.277, -0.354]],
  "species": ["Pd", "Dy", "Pd", "Pd", "Hf", "Pd", "Pd", "Pd", "Pd", "Pd", "Dy", "Pd"],
  "frac_coords": [[0.000, 0.500, 0.842], [0.000, 0.000, 0.669], [0.000, 0.500, 0.500], [0.500, 0.500, 0.329], [0.000, 0.000, 0.000], [0.500, 0.500, 0.000], [0.000, 0.500, 0.158], [0.500, 0.000, 0.842], [0.500, 0.500, 0.671], [0.500, 0.000, 0.500], [0.000, 0.000, 0.331], [0.500, 0.000, 0.158]],
  "n_ef_per_ev_atom": 0.6043,
  "density_g_cm3": 11.9,
  "spacegroup": "P4/mmm (123)",
  "delta_e_f_ev_per_atom": -0.890
}


Record 3
{
  "formula": "Dy3HfPd12",
  "functional": "GGA-PBE",
  "state": "optimized geometry",
  "lattice": [[-3.489, -2.044, -0.636], [1.803, -3.461, 1.235], [-4.618, 3.090, 15.408]],
  "species": ["Pd", "Dy", "Pd", "Pd", "Pd", "Pd", "Pd", "Pd", "Pd", "Pd", "Pd", "Hf", "Pd", "Dy", "Dy", "Pd"],
  "frac_coords": [[0.500, 0.500, 0.500], [0.000, 0.000, 0.753], [0.500, 0.000, 0.882], [0.500, 0.000, 0.373], [0.500, 0.500, 0.245], [0.500, 0.000, 0.118], [0.500, 0.000, 0.627], [0.000, 0.500, 0.373], [0.000, 0.500, 0.118], [0.000, 0.500, 0.627], [0.000, 0.500, 0.882], [0.000, 0.000, 0.000], [0.500, 0.500, 0.000], [0.000, 0.000, 0.500], [0.000, 0.000, 0.247], [0.500, 0.500, 0.755]],
  "n_ef_per_ev_atom": 0.5108,
  "density_g_cm3": 11.8,
  "spacegroup": "P4/mmm (123)",
  "delta_e_f_ev_per_atom": -0.890
}